(1)
A plane-wave DFT calculation with GGA-PBE was carried out for a relaxed structure of FeP.

Lattice parameters (Å, degrees): 4.1564 4.1564 4.2695 90.00 90.00 140.13
Closest atoms and distances in Å follow each position.
Sites, in units of the cell vectors:
P (0.5850, 0.4150, 0.7500)  5 Fe 2.17-2.33
P (0.4150, 0.5850, 0.2500)  5 Fe 2.17-2.33
Fe (0.2954, 0.7046, 0.7500)  5 P 2.17-2.33
Fe (0.7046, 0.2954, 0.2500)  5 P 2.17-2.33

The space-group type is Cmcm, No. 63. The value obtained for the energy is -7.345 eV/atom.

***

(2)
A plane-wave DFT calculation with GGA-PBE was carried out for a relaxed structure of FeP4.

Lattice parameters (Å, degrees): 4.3034 4.3034 4.3034 90.00 90.00 90.00
Closest atoms and distances in Å follow each position.
Sites, in units of the cell vectors:
P (0.0000, 0.5000, 0.5000)  2 Fe 2.15
P (0.0000, 0.0000, 0.0000)  12 P 3.04
P (0.5000, 0.0000, 0.5000)  2 Fe 2.15
P (0.5000, 0.5000, 0.0000)  2 Fe 2.15
Fe (0.5000, 0.5000, 0.5000)  6 P 2.15

The space-group type is Pm-3m, No. 221. The value obtained for the energy is -5.353 eV/atom.

***

(3)
A plane-wave DFT calculation with GGA-PBE was carried out for a relaxed structure of FeP.

Lattice parameters (Å, degrees): 2.8113 5.1549 10.1845 90.00 90.00 90.00
Closest atoms and distances in Å follow each position.
Sites, in units of the cell vectors:
P (0.0000, 0.6914, 0.2833)  4 Fe 2.21-2.26
P (0.5000, 0.3372, 0.5000)  4 Fe 2.23-2.24
P (0.0000, 0.6914, 0.7167)  4 Fe 2.21-2.26
P (0.5000, 0.3086, 0.7833)  4 Fe 2.21-2.26
P (0.0000, 0.6628, 0.0000)  4 Fe 2.23-2.24
P (0.5000, 0.3086, 0.2167)  4 Fe 2.21-2.26
Fe (0.5000, 0.9956, 0.3644)  4 P 2.21-2.26
Fe (0.5000, 0.3259, 0.0000)  4 P 2.21-2.23
Fe (0.0000, 0.6741, 0.5000)  4 P 2.21-2.23
Fe (0.0000, 0.0044, 0.8644)  4 P 2.21-2.26
Fe (0.0000, 0.0044, 0.1356)  4 P 2.21-2.26
Fe (0.5000, 0.9956, 0.6356)  4 P 2.21-2.26

The space-group type is Pmmn, No. 59. The value obtained for the energy is -7.192 eV/atom.

***

(4)
A plane-wave DFT calculation with GGA-PBE was carried out for a relaxed structure of FeP5.

Lattice parameters (Å, degrees): 2.6589 2.6589 13.0079 90.00 90.00 90.00
Closest atoms and distances in Å follow each position.
Sites, in units of the cell vectors:
P (0.0000, 0.0000, 0.1124)  4 Fe 2.38, 4 P 2.66
P (0.0000, 0.0000, 0.5000)  12 P 2.63-2.66
P (0.5000, 0.5000, 0.6408)  8 P 2.63-2.66
P (0.5000, 0.5000, 0.3592)  8 P 2.63-2.66
P (0.0000, 0.0000, 0.8876)  4 Fe 2.38, 4 P 2.66
Fe (0.5000, 0.5000, 0.0000)  8 P 2.38, 4 Fe 2.66

The space-group type is P4/mmm, No. 123. The polymorph energy (0 for the lowest one) is 41.7 kJ per mole of atoms.

***

(5)
A plane-wave DFT calculation with GGA-PBE was carried out for a relaxed structure of Fe8P.

Lattice parameters (Å, degrees): 5.5090 5.5090 5.5090 97.15 97.15 138.68
Closest atoms and distances in Å follow each position.
Sites, in units of the cell vectors:
Fe (0.6634, 0.3366, 0.0000)  10 Fe 2.38-2.64, 2 P 2.57
Fe (0.6634, 0.6634, 0.3268)  10 Fe 2.38-2.64, 2 P 2.57
Fe (0.6725, 0.0000, 0.6725)  1 P 2.39, 11 Fe 2.45-2.63
Fe (0.0000, 0.3275, 0.3275)  1 P 2.39, 11 Fe 2.45-2.63
Fe (0.3366, 0.3366, 0.6732)  10 Fe 2.38-2.64, 2 P 2.57
Fe (0.3275, 0.0000, 0.3275)  1 P 2.39, 11 Fe 2.45-2.63
Fe (0.3366, 0.6634, 0.0000)  10 Fe 2.38-2.64, 2 P 2.57
Fe (0.0000, 0.6725, 0.6725)  1 P 2.39, 11 Fe 2.45-2.63
P (0.0000, 0.0000, 0.0000)  12 Fe 2.39-2.57

The space-group type is I4/mmm, No. 139. The value obtained for the energy is -8.138 eV/atom.

***

(6)
A plane-wave DFT calculation with GGA-PBE was carried out for a relaxed structure of FeP3.

Lattice parameters (Å, degrees): 2.8698 2.8698 6.1662 90.00 90.00 90.00
Closest atoms and distances in Å follow each position.
Sites, in units of the cell vectors:
P (0.0000, 0.0000, 0.5000)  12 P 2.68-2.87
P (0.5000, 0.5000, 0.7831)  4 Fe 2.43, 5 P 2.67-2.68
P (0.5000, 0.5000, 0.2169)  4 Fe 2.43, 5 P 2.67-2.68
Fe (0.0000, 0.0000, 0.0000)  8 P 2.43

The space-group type is P4/mmm, No. 123. The polymorph energy (0 for the lowest one) is 31.9 kJ per mole of atoms.

***

(7)
A plane-wave DFT calculation with GGA-PBE was carried out for a relaxed structure of FeP3.

Lattice parameters (Å, degrees): 3.4016 3.4013 5.5420 90.00 90.00 90.00
Closest atoms and distances in Å follow each position.
Sites, in units of the cell vectors:
P (0.5000, 0.0000, 0.5234)  2 Fe 2.13, 2 P 2.26
P (0.5000, 0.5000, 0.7917)  4 P 2.26
P (0.0000, 0.5000, 0.0599)  2 Fe 2.13, 2 P 2.26
Fe (0.0000, 0.0000, 0.2917)  4 P 2.13

The space-group type is P-4m2, No. 115. The polymorph energy (0 for the lowest one) is 0.4 kJ per mole of atoms.

***

(8)
A plane-wave DFT calculation with GGA-PBE was carried out for a relaxed structure of Fe2P3.

Lattice parameters (Å, degrees): 8.5386 8.5386 8.5386 19.30 19.30 19.30
Closest atoms and distances in Å follow each position.
Sites, in units of the cell vectors:
P (0.0000, 0.0000, 0.0000)  6 Fe 2.40
P (0.7948, 0.7948, 0.7948)  3 Fe 2.22
P (0.2052, 0.2052, 0.2052)  3 Fe 2.22
Fe (0.4027, 0.4027, 0.4027)  6 P 2.22-2.40
Fe (0.5973, 0.5973, 0.5973)  6 P 2.22-2.40

The space-group type is R-3m, No. 166. The value obtained for the energy is -6.771 eV/atom.